Entry 1:
Computed, not measured: a relaxed KMn2Ru crystal at the GGA-PBE level of DFT.

Properties
Space group ... P4/mmm
D(E_F) ... 3.8 states/eV/cell

abc: 3.119 3.119 8.580
angles: 90.00 90.00 90.00
Element x y z (fractional)
K (0.000, 0.000, 0.000)
Mn (0.500, 0.500, 0.338)
Mn (0.500, 0.500, 0.662)
Ru (0.000, 0.000, 0.500)

Entry 2:
Computed, not measured: a relaxed KMnRu2 crystal at the GGA-PBE level of DFT.

Properties
Space group ... I-42d
D(E_F) ... 3.6 states/eV/cell

abc: 5.867 5.867 5.867
angles: 105.13 105.13 118.55
Element x y z (fractional)
K (0.000, 0.000, 0.000)
K (0.750, 0.250, 0.500)
Mn (0.250, 0.750, 0.500)
Mn (0.500, 0.500, 0.000)
Ru (0.208, 0.625, 0.083)
Ru (0.375, 0.458, 0.583)
Ru (0.542, 0.125, 0.917)
Ru (0.875, 0.792, 0.417)

Entry 3:
Computed, not measured: a relaxed KMn3Ru crystal at the GGA-PBE level of DFT.

Properties
Space group ... Pm-3m
D(E_F) ... 4.3 states/eV/cell

abc: 4.581 4.581 4.581
angles: 90.00 90.00 90.00
Element x y z (fractional)
K (0.000, 0.000, 0.000)
Mn (0.000, 0.000, 0.500)
Mn (0.000, 0.500, 0.000)
Mn (0.500, 0.000, 0.000)
Ru (0.500, 0.500, 0.500)

E_form list, top to bottom, in eV/atom: 0.606; 1.262; 2.463